## YHo3In (PBE)

Data for a relaxed structure of YHo3In.

a b c (Å): 14.6141 13.0303 6.4733
angles (deg): 90.00 104.17 90.00
Last column: nearest neighbours and their distance in Å.
Space group C2/c (No. 15)
One atom of each set of equivalent atoms:
Y  0.1045  0.0661  0.4633  7 Ho 3.39-3.63, 4 Y 3.58-3.67
Ho  0.0955  0.1950  0.9847  2 In 3.20-3.35, 3 Ho 3.26-3.50, 3 Y 3.41-3.50
Ho  0.1876  0.3109  0.6381  6 Ho 3.26-3.63, 2 In 3.28, 2 Y 3.50-3.63
Ho  0.1967  0.4289  0.1362  2 In 3.30-3.32, 2 Y 3.39-3.60, 6 Ho 3.39-3.69
In  0.0000  0.3512  0.2500  3 In 3.08-3.33, 6 Ho 3.20-3.30
In  0.0000  0.4122  0.7500  3 In 3.08-3.33, 6 Ho 3.28-3.35

As for the total energy: -4.68 eV/atom. For the formation energy, the calculation gives -0.090 eV/atom. The energy relative to the lowest polymorph listed for this composition comes out at 97 meV/atom.